Record 1
A plane-wave DFT calculation with PBE was carried out for an optimized crystal structure of ScCr3.

Unit cell a=4.985 b=4.985 c=4.985 alpha=145.53 beta=127.42 gamma=64.40
Atoms (fractional coordinates):
1 Sc 0.000 0.000 0.000
2 Cr 0.271 0.771 0.500
3 Cr 0.500 0.500 0.000
4 Cr 0.729 0.229 0.500

For the energy, the calculation gives -8.4834 eV/atom. Its space-group type is No. 71. The formation energy comes out at 0.317 eV/atom.

Record 2
A plane-wave DFT calculation with PBE was carried out for an optimized crystal structure of Si2Sn4Bi.

Unit cell a=8.255 b=8.255 c=8.255 alpha=139.62 beta=139.62 gamma=58.42
Atoms (fractional coordinates):
1 Si 0.081 0.081 0.000
2 Si 0.919 0.919 0.000
3 Sn 0.000 0.500 0.500
4 Sn 0.265 0.265 0.000
5 Sn 0.500 0.000 0.500
6 Sn 0.735 0.735 0.000
7 Bi 0.500 0.500 0.000

For the energy, the calculation gives -3.7404 eV/atom. Its uncorrected formation energy is 0.6508 eV per atom. Its space-group type is No. 139.